(1)
Below is AlFeSn after structural relaxation, with properties calculated at the PBE level. Values from VASP.

Computed properties:
VASP energy	-5.3139	eV per atom
calculated density	6.2	g/cm³
crystal system	cubic
total magnetic moment	1.37	μB per cell
symmetry	F-43m
volume	18.00	Å³/atom

```
&SYSTEM
  ibrav = 0, nat = 3, ntyp = 3
/
ATOMIC_SPECIES
Al 26.98 Al.upf
Fe 55.84 Fe.upf
Sn 118.71 Sn.upf
CELL_PARAMETERS angstrom
0.000 3.000 3.000
3.000 0.000 3.000
3.000 3.000 0.000
ATOMIC_POSITIONS crystal
Al 0.000 0.000 0.000
Fe 0.250 0.250 0.250
Sn 0.500 0.500 0.500
```

---

(2)
Below is SrBeSiPt after structural relaxation, with properties calculated at the PBE level. Values from VASP.

Computed properties:
VASP energy	-4.0033	eV per atom
calculated density	7.1	g/cm³
crystal system	cubic
total magnetic moment	0.00	μB per cell
symmetry	F-43m
volume	18.78	Å³/atom

```
&SYSTEM
  ibrav = 0, nat = 4, ntyp = 4
/
ATOMIC_SPECIES
Sr 87.62 Sr.upf
Be 9.01 Be.upf
Si 28.09 Si.upf
Pt 195.08 Pt.upf
CELL_PARAMETERS angstrom
0.000 3.349 3.349
3.349 0.000 3.349
3.349 3.349 0.000
ATOMIC_POSITIONS crystal
Sr 0.000 0.000 0.000
Be 0.500 0.500 0.500
Si 0.250 0.250 0.250
Pt 0.750 0.750 0.750
```

---

| no. | offset from the most stable computed form (meV/atom) |
| --- | --- |
| 1 | 0 |
| 2 | 259 |